First-principles (PBE) data for CdBAu after structural relaxation, as listed in the Open Quantum Materials Database.

Values from the calculation:
**Energy**: -2.64 eV per atom
**SG**: F-43m

```
data_CdBAu
_chemical_formula_sum 'Cd1 B1 Au1'
_cell_length_a 4.2884
_cell_length_b 4.2884
_cell_length_c 4.2884
_cell_angle_alpha 60.00
_cell_angle_beta 60.00
_cell_angle_gamma 60.00
_symmetry_space_group_name_H-M 'P 1'
_symmetry_Int_Tables_number 1
loop_
_symmetry_equiv_pos_as_xyz
'x,y,z'
loop_
_atom_site_label
_atom_site_type_symbol
_atom_site_fract_x
_atom_site_fract_y
_atom_site_fract_z
_atom_site_occupancy
Cd1 Cd 0.0000 0.0000 0.0000 1
B1 B 0.5000 0.5000 0.5000 1
Au1 Au 0.7500 0.7500 0.7500 1
```